Entry from OQMD: a relaxed structure of CuCl2 (PBE).

Unit cell a=3.5241 b=3.5241 c=11.3169 alpha=90.00 beta=90.00 gamma=120.00
Positions (direct):
Cl (0.0000, 0.0000, 0.2571)
Cl (0.6667, 0.3333, 0.4926)
Cl (0.0000, 0.0000, 0.7571)
Cl (0.3333, 0.6667, 0.9926)
Cu (0.3333, 0.6667, 0.3753)
Cu (0.6667, 0.3333, 0.8753)

Entry from OQMD: a relaxed structure of ScZn2Ni (PBE).

Unit cell a=4.3841 b=4.3841 c=4.3841 alpha=60.00 beta=60.00 gamma=60.00
Positions (direct):
Ni (0.7500, 0.7500, 0.7500)
Sc (0.0000, 0.0000, 0.0000)
Zn (0.2500, 0.2500, 0.2500)
Zn (0.5000, 0.5000, 0.5000)

Values from the calculation:
ΔH_f (0 K): -0.34 eV per atom

Entry from OQMD: a relaxed structure of PrAlO3 (PBE).

Unit cell a=5.3235 b=5.3235 c=5.3235 alpha=60.48 beta=60.48 gamma=60.48
Positions (direct):
Al (0.0000, 0.0000, 0.0000)
Al (0.5000, 0.5000, 0.5000)
O (0.7500, 0.2954, 0.2046)
O (0.7046, 0.7954, 0.2500)
O (0.2046, 0.7500, 0.2954)
O (0.7954, 0.2500, 0.7046)
O (0.2954, 0.2046, 0.7500)
O (0.2500, 0.7046, 0.7954)
Pr (0.2500, 0.2500, 0.2500)
Pr (0.7500, 0.7500, 0.7500)

Entry from OQMD: a relaxed structure of AgB2Pd2 (PBE).

Unit cell a=4.9456 b=4.9456 c=4.9456 alpha=133.88 beta=133.88 gamma=67.27
Positions (direct):
Ag (0.0000, 0.0000, 0.0000)
B (0.3948, 0.3948, 0.0000)
B (0.6052, 0.6052, 0.0000)
Pd (0.7500, 0.2500, 0.5000)
Pd (0.2500, 0.7500, 0.5000)

Computed final energy (eV per atom) in order:
-2.8464 -3.9417 -7.9177 -5.2257